First-principles (GGA+U) data for a relaxed structure of TlNiHO2, as listed in Alexandria.

Geometry as POSCAR:
```
TlNiHO2
1.0
4.164 0.000 0.000
0.000 4.164 0.000
0.000 0.000 3.091
Tl Ni H O
1 1 1 2
direct
0.000 0.000 0.000 Tl
0.500 0.500 0.000 Ni
0.500 0.500 0.500 H
0.000 0.500 0.500 O
0.500 0.000 0.500 O
```

Results
- symmetry = P4/mmm, No. 123
- Fermi-level density of states (states/eV per cell) = 1.7
- energy (eV/cell) = -16.71
- spin magnetization (μB/f.u.) = 1.1